Here is a relaxed structure of BaPaCr2O8 from Alexandria. Energies are from PBE with a Hubbard U.

Cell: 5.776 5.776 7.595 Å, 90.00 90.00 120.00°
Sites, in units of the cell vectors:
Ba 0.000 0.000 0.000
Pa 0.000 0.000 0.500
Cr 0.333 0.667 0.234
Cr 0.667 0.333 0.766
O 0.165 0.330 0.315
O 0.165 0.835 0.315
O 0.330 0.165 0.685
O 0.333 0.667 0.014
O 0.667 0.333 0.986
O 0.670 0.835 0.315
O 0.835 0.165 0.685
O 0.835 0.670 0.685

## Properties
E: -93.52 eV/cell